# 1
VASP calculation (PBE-GGA) on GaHg2IrI after structural relaxation.

Cell: 5.3822 4.8356 5.3822 Å, 90.00 90.00 90.00°
Fractional positions:
Hg: 0.0000 0.0000 0.5000
Hg: 0.5000 0.0000 0.0000
Ga: 0.0000 0.5000 0.0000
I: 0.5000 0.5000 0.5000
Ir: 0.0000 0.0000 0.0000

Space group   P4/mmm
Formation energy without anion corrections   0.09 eV/atom



# 2
VASP calculation (PBE-GGA) on Pa12H5Os3 after structural relaxation.

Cell: 12.6620 12.6620 12.6620 Å, 109.47 109.47 109.47°
Fractional positions:
H: 0.0000 0.5000 0.5000
H: 0.0000 0.0000 0.0000
H: 0.0000 0.0000 0.5000
H: 0.7500 0.6250 0.3750
H: 0.1250 0.3750 0.2500
H: 0.2500 0.3750 0.6250
H: 0.5000 0.0000 0.5000
H: 0.6250 0.7500 0.8750
H: 0.5000 0.0000 0.0000
H: 0.6250 0.8750 0.2500
H: 0.7500 0.1250 0.8750
H: 0.2500 0.8750 0.1250
H: 0.8750 0.2500 0.6250
H: 0.5000 0.5000 0.0000
H: 0.0000 0.5000 0.0000
H: 0.1250 0.7500 0.3750
H: 0.8750 0.6250 0.7500
H: 0.3750 0.1250 0.7500
H: 0.3750 0.2500 0.1250
H: 0.5000 0.5000 0.5000
Pa: 0.7884 0.4752 0.3923
Pa: 0.9752 0.5830 0.1869
Pa: 0.3131 0.5248 0.4170
Pa: 0.6077 0.0248 0.2116
Pa: 0.1039 0.1869 0.2116
Pa: 0.7116 0.6039 0.1869
Pa: 0.4752 0.6869 0.0830
Pa: 0.5830 0.6077 0.3961
Pa: 0.2116 0.6869 0.1039
Pa: 0.6869 0.2116 0.6039
Pa: 0.1869 0.1039 0.7116
Pa: 0.3961 0.2884 0.3131
Pa: 0.8961 0.0830 0.6077
Pa: 0.1869 0.0830 0.9752
Pa: 0.1077 0.3961 0.0830
Pa: 0.1077 0.7116 0.5248
Pa: 0.2884 0.3961 0.8131
Pa: 0.8131 0.8961 0.2884
Pa: 0.8961 0.8131 0.7884
Pa: 0.6077 0.5830 0.8961
Pa: 0.9170 0.8131 0.5248
Pa: 0.2884 0.8923 0.9752
Pa: 0.0830 0.1869 0.4752
Pa: 0.3131 0.7884 0.3961
Pa: 0.4170 0.0248 0.3131
Pa: 0.2116 0.5248 0.6077
Pa: 0.0248 0.6077 0.7116
Pa: 0.5248 0.3131 0.9170
Pa: 0.6039 0.8923 0.4170
Pa: 0.6039 0.7116 0.6869
Pa: 0.3961 0.1077 0.5830
Pa: 0.7884 0.3131 0.8961
Pa: 0.5830 0.9752 0.6869
Pa: 0.5248 0.2116 0.1077
Pa: 0.6869 0.4752 0.5830
Pa: 0.4752 0.7884 0.8923
Pa: 0.7116 0.1077 0.0248
Pa: 0.8923 0.6039 0.9170
Pa: 0.0830 0.8961 0.1077
Pa: 0.8131 0.9170 0.0248
Pa: 0.1039 0.9170 0.3923
Pa: 0.0248 0.4170 0.8131
Pa: 0.9752 0.3923 0.2884
Pa: 0.4170 0.3923 0.6039
Pa: 0.8923 0.2884 0.4752
Pa: 0.3923 0.9752 0.7884
Pa: 0.9170 0.1039 0.8923
Pa: 0.3923 0.4170 0.1039
Os: 0.7500 0.8750 0.6250
Os: 0.7500 0.3750 0.1250
Os: 0.1250 0.2500 0.8750
Os: 0.8750 0.1250 0.2500
Os: 0.3750 0.7500 0.6250
Os: 0.3750 0.6250 0.2500
Os: 0.2500 0.6250 0.8750
Os: 0.8750 0.7500 0.1250
Os: 0.1250 0.8750 0.7500
Os: 0.6250 0.2500 0.3750
Os: 0.2500 0.1250 0.3750
Os: 0.6250 0.3750 0.7500

Space group   Ia-3d
Electronic total energy   -659.47 eV/cell



Number 1: density 9.4 g cm⁻³. Number 2: density 14.2 g cm⁻³.